A plane-wave DFT calculation with PBE-GGA was carried out for a relaxed structure of Ho4SiTe2Se.

Lattice parameters (Å, degrees): 7.2317 4.1809 7.4461 90.00 109.01 90.00
Last column: nearest neighbours and their distance in Å.
Sites, in units of the cell vectors:
1 Ho 0.2300 0.0000 0.2168  2 Si 2.83, 1 Se 2.91, 3 Te 3.08-3.15
2 Ho 0.2494 0.5000 0.7818  1 Si 2.79, 2 Se 2.89, 2 Te 3.09
3 Ho 0.7506 0.5000 0.2182  1 Si 2.79, 2 Se 2.89, 2 Te 3.09
4 Ho 0.7700 0.0000 0.7832  2 Si 2.83, 1 Se 2.91, 3 Te 3.08-3.15
5 Si 0.0000 0.5000 0.0000  6 Ho 2.79-2.83
6 Te 0.0000 0.0000 0.5000  6 Ho 3.08-3.09
7 Te 0.5000 0.5000 0.5000  6 Ho 3.15-3.19
8 Se 0.5000 0.0000 0.0000  6 Ho 2.89-2.91

Calculated values
- DFT total energy (eV/atom) = -5.5395
- formation energy (no corrections) (eV/atom) = -1.352
- symmetry = P2/m



A plane-wave DFT calculation with PBE-GGA was carried out for a relaxed structure of Ho8Si3Te3Se.

Lattice parameters (Å, degrees): 8.4212 8.4212 8.4212 59.22 59.22 59.22
Last column: nearest neighbours and their distance in Å.
Sites, in units of the cell vectors:
1 Ho 0.2266 0.7494 0.7494  2 Si 2.82, 1 Se 2.96, 2 Te 3.11
2 Ho 0.2396 0.2396 0.2396  3 Si 2.84, 3 Te 3.09
3 Ho 0.2506 0.2506 0.7734  2 Si 2.82, 1 Se 2.96, 2 Te 3.11
4 Ho 0.2506 0.7734 0.2506  2 Si 2.82, 1 Se 2.96, 2 Te 3.11
5 Ho 0.7494 0.2266 0.7494  2 Si 2.82, 1 Se 2.96, 2 Te 3.11
6 Ho 0.7494 0.7494 0.2266  2 Si 2.82, 1 Se 2.96, 2 Te 3.11
7 Ho 0.7604 0.7604 0.7604  3 Si 2.84, 3 Te 3.09
8 Ho 0.7734 0.2506 0.2506  2 Si 2.82, 1 Se 2.96, 2 Te 3.11
9 Si 0.0000 0.0000 0.5000  6 Ho 2.82-2.84
10 Si 0.0000 0.5000 0.0000  6 Ho 2.82-2.84
11 Si 0.5000 0.0000 0.0000  6 Ho 2.82-2.84
12 Te 0.0000 0.5000 0.5000  6 Ho 3.09-3.11
13 Te 0.5000 0.0000 0.5000  6 Ho 3.09-3.11
14 Te 0.5000 0.5000 0.0000  6 Ho 3.09-3.11
15 Se 0.5000 0.5000 0.5000  6 Ho 2.96

Calculated values
- DFT total energy (eV/atom) = -5.4635
- formation energy (no corrections) (eV/atom) = -1.077
- symmetry = R-3m



A plane-wave DFT calculation with PBE-GGA was carried out for a relaxed structure of Ho8SiTe4Se3.

Lattice parameters (Å, degrees): 8.5130 8.5130 8.5130 58.62 58.62 58.62
Last column: nearest neighbours and their distance in Å.
Sites, in units of the cell vectors:
1 Ho 0.2389 0.2389 0.2389  3 Se 2.85, 3 Te 3.12
2 Ho 0.2485 0.7333 0.7333  1 Si 2.78, 2 Se 2.87, 2 Te 3.10
3 Ho 0.2667 0.2667 0.7515  1 Si 2.78, 2 Se 2.87, 2 Te 3.10
4 Ho 0.2667 0.7515 0.2667  1 Si 2.78, 2 Se 2.87, 2 Te 3.10
5 Ho 0.7333 0.2485 0.7333  1 Si 2.78, 2 Se 2.87, 2 Te 3.10
6 Ho 0.7333 0.7333 0.2485  1 Si 2.78, 2 Se 2.87, 2 Te 3.10
7 Ho 0.7515 0.2667 0.2667  1 Si 2.78, 2 Se 2.87, 2 Te 3.10
8 Ho 0.7611 0.7611 0.7611  3 Se 2.85, 3 Te 3.12
9 Si 0.5000 0.5000 0.5000  6 Ho 2.78
10 Te 0.0000 0.0000 0.0000  6 Ho 3.19
11 Te 0.0000 0.5000 0.5000  6 Ho 3.10-3.12
12 Te 0.5000 0.0000 0.5000  6 Ho 3.10-3.12
13 Te 0.5000 0.5000 0.0000  6 Ho 3.10-3.12
14 Se 0.0000 0.0000 0.5000  6 Ho 2.85-2.87
15 Se 0.0000 0.5000 0.0000  6 Ho 2.85-2.87
16 Se 0.5000 0.0000 0.0000  6 Ho 2.85-2.87

Calculated values
- DFT total energy (eV/atom) = -5.5076
- formation energy (no corrections) (eV/atom) = -1.441
- symmetry = R-3m



A plane-wave DFT calculation with PBE-GGA was carried out for a relaxed structure of Ho4SiTeSe2.

Lattice parameters (Å, degrees): 7.1281 4.1345 7.3085 90.00 109.36 90.00
Last column: nearest neighbours and their distance in Å.
Sites, in units of the cell vectors:
1 Ho 0.2413 0.0000 0.2283  2 Si 2.85, 3 Se 2.87-3.03, 1 Te 3.03
2 Ho 0.2552 0.5000 0.7775  1 Si 2.81, 3 Se 2.84-3.08, 2 Te 3.04
3 Ho 0.7448 0.5000 0.2225  1 Si 2.81, 3 Se 2.84-3.08, 2 Te 3.04
4 Ho 0.7587 0.0000 0.7717  2 Si 2.85, 3 Se 2.87-3.03, 1 Te 3.03
5 Si 0.0000 0.5000 0.0000  6 Ho 2.81-2.85
6 Te 0.0000 0.0000 0.5000  6 Ho 3.03-3.04
7 Se 0.5000 0.0000 0.0000  6 Ho 2.84-2.87
8 Se 0.5000 0.5000 0.5000  6 Ho 3.03-3.08

Calculated values
- DFT total energy (eV/atom) = -5.6603
- formation energy (no corrections) (eV/atom) = -1.430
- symmetry = P2/m



A plane-wave DFT calculation with PBE-GGA was carried out for a relaxed structure of Ho8SiTe3Se3.

Lattice parameters (Å, degrees): 8.4484 8.4484 8.4484 58.52 58.52 58.52
Last column: nearest neighbours and their distance in Å.
Sites, in units of the cell vectors:
1 Ho 0.2386 0.2386 0.2386  3 Se 2.82, 3 Te 3.10
2 Ho 0.2463 0.7369 0.7369  1 Si 2.80, 2 Se 2.85, 2 Te 3.06
3 Ho 0.2631 0.2631 0.7537  1 Si 2.80, 2 Se 2.85, 2 Te 3.06
4 Ho 0.2631 0.7537 0.2631  1 Si 2.80, 2 Se 2.85, 2 Te 3.06
5 Ho 0.7369 0.2463 0.7369  1 Si 2.80, 2 Se 2.85, 2 Te 3.06
6 Ho 0.7369 0.7369 0.2463  1 Si 2.80, 2 Se 2.85, 2 Te 3.06
7 Ho 0.7537 0.2631 0.2631  1 Si 2.80, 2 Se 2.85, 2 Te 3.06
8 Ho 0.7614 0.7614 0.7614  3 Se 2.82, 3 Te 3.10
9 Si 0.5000 0.5000 0.5000  6 Ho 2.80
10 Te 0.0000 0.5000 0.5000  6 Ho 3.06-3.10
11 Te 0.5000 0.0000 0.5000  6 Ho 3.06-3.10
12 Te 0.5000 0.5000 0.0000  6 Ho 3.06-3.10
13 Se 0.0000 0.0000 0.5000  6 Ho 2.82-2.85
14 Se 0.0000 0.5000 0.0000  6 Ho 2.82-2.85
15 Se 0.5000 0.0000 0.0000  6 Ho 2.82-2.85

Calculated values
- DFT total energy (eV/atom) = -5.4331
- formation energy (no corrections) (eV/atom) = -1.305
- symmetry = R-3m



A plane-wave DFT calculation with PBE-GGA was carried out for a relaxed structure of Ho6SiTe2Se3.

Lattice parameters (Å, degrees): 7.2804 7.2804 7.1371 99.76 99.76 119.94
Last column: nearest neighbours and their distance in Å.
Sites, in units of the cell vectors:
1 Ho 0.0848 0.3872 0.7565  1 Si 2.79, 3 Se 2.84-3.03, 2 Te 3.08-3.09
2 Ho 0.2149 0.2149 0.2391  1 Si 2.81, 3 Se 2.92-3.10, 2 Te 3.08
3 Ho 0.3872 0.0848 0.7565  1 Si 2.79, 3 Se 2.84-3.03, 2 Te 3.08-3.09
4 Ho 0.6128 0.9152 0.2435  1 Si 2.79, 3 Se 2.84-3.03, 2 Te 3.08-3.09
5 Ho 0.7851 0.7851 0.7609  1 Si 2.81, 3 Se 2.92-3.10, 2 Te 3.08
6 Ho 0.9152 0.6128 0.2435  1 Si 2.79, 3 Se 2.84-3.03, 2 Te 3.08-3.09
7 Si 0.0000 0.0000 0.5000  6 Ho 2.79-2.81
8 Te 0.3350 0.6650 0.5000  6 Ho 3.08-3.09
9 Te 0.6650 0.3350 0.5000  6 Ho 3.08-3.09
10 Se 0.1768 0.8232 0.0000  6 Ho 2.85-3.03
11 Se 0.5000 0.5000 0.0000  6 Ho 2.84-3.10
12 Se 0.8232 0.1768 0.0000  6 Ho 2.85-3.03

Calculated values
- DFT total energy (eV/atom) = -5.6026
- formation energy (no corrections) (eV/atom) = -1.467
- symmetry = C2/m



A plane-wave DFT calculation with PBE-GGA was carried out for a relaxed structure of HoThSiSe.

Lattice parameters (Å, degrees): 4.1848 4.1848 20.4213 90.00 90.00 120.00
Last column: nearest neighbours and their distance in Å.
Sites, in units of the cell vectors:
1 Ho 0.0000 0.0000 0.0000  3 Si 2.87, 3 Se 2.97
2 Ho 0.3333 0.6667 0.6667  3 Si 2.87, 3 Se 2.97
3 Ho 0.6667 0.3333 0.3333  3 Si 2.87, 3 Se 2.97
4 Th 0.0000 0.0000 0.4895  3 Si 2.92, 3 Se 3.06
5 Th 0.3333 0.6667 0.1561  3 Si 2.92, 3 Se 3.06
6 Th 0.6667 0.3333 0.8228  3 Si 2.92, 3 Se 3.06
7 Si 0.0000 0.0000 0.7423  3 Ho 2.87, 3 Th 2.92
8 Si 0.3333 0.6667 0.4089  3 Ho 2.87, 3 Th 2.92
9 Si 0.6667 0.3333 0.0756  3 Ho 2.87, 3 Th 2.92
10 Se 0.0000 0.0000 0.2484  3 Ho 2.97, 3 Th 3.06
11 Se 0.3333 0.6667 0.9151  3 Ho 2.97, 3 Th 3.06
12 Se 0.6667 0.3333 0.5818  3 Ho 2.97, 3 Th 3.06

Calculated values
- DFT total energy (eV/atom) = -6.4579
- formation energy (no corrections) (eV/atom) = -1.232
- symmetry = R3m



A plane-wave DFT calculation with PBE-GGA was carried out for a relaxed structure of Ho4TlSiSe2.

Lattice parameters (Å, degrees): 5.8788 5.8788 11.7756 90.00 90.00 90.00
Last column: nearest neighbours and their distance in Å.
Sites, in units of the cell vectors:
1 Ho 0.0000 0.0000 0.2415  3 Se 2.84-2.94, 2 Si 2.94, 1 Tl 3.04
2 Ho 0.0000 0.0000 0.7585  3 Se 2.84-2.94, 2 Si 2.94, 1 Tl 3.04
3 Ho 0.0000 0.5000 0.0042  1 Si 2.89, 2 Tl 2.94, 3 Se 2.94-2.99
4 Ho 0.0000 0.5000 0.4958  1 Si 2.89, 3 Se 2.94-2.99, 2 Tl 2.94
5 Ho 0.5000 0.0000 0.5042  1 Si 2.89, 3 Se 2.94-2.99, 2 Tl 2.94
6 Ho 0.5000 0.0000 0.9958  1 Si 2.89, 2 Tl 2.94, 3 Se 2.94-2.99
7 Ho 0.5000 0.5000 0.2585  3 Se 2.84-2.94, 2 Si 2.94, 1 Tl 3.04
8 Ho 0.5000 0.5000 0.7415  3 Se 2.84-2.94, 2 Si 2.94, 1 Tl 3.04
9 Tl 0.0000 0.0000 0.5000  6 Ho 2.94-3.04
10 Tl 0.5000 0.5000 0.0000  6 Ho 2.94-3.04
11 Si 0.0000 0.5000 0.2500  6 Ho 2.89-2.94
12 Si 0.5000 0.0000 0.7500  6 Ho 2.89-2.94
13 Se 0.0000 0.0000 0.0000  6 Ho 2.84-2.94
14 Se 0.0000 0.5000 0.7500  6 Ho 2.94-2.99
15 Se 0.5000 0.0000 0.2500  6 Ho 2.94-2.99
16 Se 0.5000 0.5000 0.5000  6 Ho 2.84-2.94

Calculated values
- DFT total energy (eV/atom) = -5.2351
- formation energy (no corrections) (eV/atom) = -1.101
- symmetry = I-4m2



A plane-wave DFT calculation with PBE-GGA was carried out for a relaxed structure of HoTmSiSe.

Lattice parameters (Å, degrees): 4.0654 4.0654 20.2007 90.00 90.00 120.00
Last column: nearest neighbours and their distance in Å.
Sites, in units of the cell vectors:
1 Ho 0.0000 0.0000 0.0000  3 Si 2.84, 3 Se 2.96
2 Ho 0.3333 0.6667 0.6667  3 Si 2.84, 3 Se 2.96
3 Ho 0.6667 0.3333 0.3333  3 Si 2.84, 3 Se 2.96
4 Tm 0.0000 0.0000 0.4900  3 Si 2.82, 3 Se 2.94
5 Tm 0.3333 0.6667 0.1567  3 Si 2.82, 3 Se 2.94
6 Tm 0.6667 0.3333 0.8234  3 Si 2.82, 3 Se 2.94
7 Si 0.0000 0.0000 0.7457  3 Tm 2.82, 3 Ho 2.84
8 Si 0.3333 0.6667 0.4123  3 Tm 2.82, 3 Ho 2.84
9 Si 0.6667 0.3333 0.0790  3 Tm 2.82, 3 Ho 2.84
10 Se 0.0000 0.0000 0.2441  3 Tm 2.94, 3 Ho 2.96
11 Se 0.3333 0.6667 0.9108  3 Tm 2.94, 3 Ho 2.96
12 Se 0.6667 0.3333 0.5774  3 Tm 2.94, 3 Ho 2.96

Calculated values
- DFT total energy (eV/atom) = -5.7655
- formation energy (no corrections) (eV/atom) = -1.276
- symmetry = R3m



A plane-wave DFT calculation with PBE-GGA was carried out for a relaxed structure of SmHo3Se4.

Lattice parameters (Å, degrees): 8.2794 11.5609 4.0304 90.00 90.00 90.00
Last column: nearest neighbours and their distance in Å.
Sites, in units of the cell vectors:
1 Sm 0.0000 0.0000 0.0000  6 Se 2.93
2 Sm 0.5000 0.5000 0.0000  6 Se 2.93
3 Ho 0.0000 0.5000 0.0000  6 Se 2.85
4 Ho 0.2500 0.2500 0.5000  6 Se 2.89
5 Ho 0.2500 0.7500 0.5000  6 Se 2.89
6 Ho 0.5000 0.0000 0.0000  6 Se 2.85
7 Ho 0.7500 0.2500 0.5000  6 Se 2.89
8 Ho 0.7500 0.7500 0.5000  6 Se 2.89
9 Se 0.0000 0.2536 0.0000  5 Ho 2.85-2.89, 1 Sm 2.93
10 Se 0.0000 0.7464 0.0000  5 Ho 2.85-2.89, 1 Sm 2.93
11 Se 0.2427 0.5000 0.5000  4 Ho 2.85-2.89, 2 Sm 2.93
12 Se 0.2573 0.0000 0.5000  4 Ho 2.85-2.89, 2 Sm 2.93
13 Se 0.5000 0.2464 0.0000  5 Ho 2.85-2.89, 1 Sm 2.93
14 Se 0.5000 0.7536 0.0000  5 Ho 2.85-2.89, 1 Sm 2.93
15 Se 0.7427 0.0000 0.5000  4 Ho 2.85-2.89, 2 Sm 2.93
16 Se 0.7573 0.5000 0.5000  4 Ho 2.85-2.89, 2 Sm 2.93

Calculated values
- DFT total energy (eV/atom) = -5.7909
- formation energy (no corrections) (eV/atom) = -1.742
- symmetry = Cmmm



A plane-wave DFT calculation with PBE-GGA was carried out for a relaxed structure of Sm5HoSe6.

Lattice parameters (Å, degrees): 7.2051 7.2051 7.1818 99.63 99.63 120.08
Last column: nearest neighbours and their distance in Å.
Sites, in units of the cell vectors:
1 Sm 0.0000 0.0000 0.0000  6 Se 2.93-2.98
2 Sm 0.1676 0.8324 0.5000  6 Se 2.93-2.96
3 Sm 0.3286 0.6714 0.0000  6 Se 2.94-2.96
4 Sm 0.6714 0.3286 0.0000  6 Se 2.94-2.96
5 Sm 0.8324 0.1676 0.5000  6 Se 2.93-2.96
6 Ho 0.5000 0.5000 0.5000  6 Se 2.87-2.89
7 Se 0.0924 0.4180 0.2549  1 Ho 2.87, 5 Sm 2.93-2.96
8 Se 0.2566 0.2566 0.7486  1 Ho 2.89, 5 Sm 2.96-2.98
9 Se 0.4180 0.0924 0.2549  1 Ho 2.87, 5 Sm 2.93-2.96
10 Se 0.5820 0.9076 0.7451  1 Ho 2.87, 5 Sm 2.93-2.96
11 Se 0.7434 0.7434 0.2514  1 Ho 2.89, 5 Sm 2.96-2.98
12 Se 0.9076 0.5820 0.7451  1 Ho 2.87, 5 Sm 2.93-2.96

Calculated values
- DFT total energy (eV/atom) = -5.8937
- formation energy (no corrections) (eV/atom) = -1.804
- symmetry = C2/m



A plane-wave DFT calculation with PBE-GGA was carried out for a relaxed structure of Sm2Ho3Se4.

Lattice parameters (Å, degrees): 7.0000 7.0000 9.9247 117.65 117.65 33.34
Last column: nearest neighbours and their distance in Å.
Sites, in units of the cell vectors:
1 Sm 0.0931 0.0931 0.4060  4 Se 2.91-2.97
2 Sm 0.9069 0.9069 0.5940  4 Se 2.91-2.97
3 Ho 0.3001 0.3001 0.2076  5 Se 2.84-2.88
4 Ho 0.5000 0.5000 0.0000  6 Se 2.84-2.86
5 Ho 0.6999 0.6999 0.7924  5 Se 2.84-2.88
6 Se 0.1065 0.1065 0.9083  5 Ho 2.84-2.88, 1 Sm 2.97
7 Se 0.3050 0.3050 0.7021  3 Ho 2.84, 3 Sm 2.91-2.94
8 Se 0.6950 0.6950 0.2979  3 Ho 2.84, 3 Sm 2.91-2.94
9 Se 0.8935 0.8935 0.0917  5 Ho 2.84-2.88, 1 Sm 2.97

Calculated values
- DFT total energy (eV/atom) = -5.6615
- formation energy (no corrections) (eV/atom) = -1.538
- symmetry = C2/m